Below is crystalline Ti3Ge2Ir at its relaxed geometry, with properties calculated at the GGA-PBE level.

Summary:
DOS(E_F) = 20.49 states/eV/cell
Total magnetic moment = 0.000 μB/cell
ρ = 8144 kg/m3
Calculated formation energy = -0.547 eV/atom
Symmetry = No. 62
Final energy = -7.5103 eV/atom

Cell: 4.110 6.809 14.019 Å, 90.00 90.00 90.00°
Atoms (fractional coordinates):
Ir 0.750 0.053 0.112
Ti 0.750 0.472 0.076
Ge 0.250 0.008 0.291
Ge 0.750 0.992 0.709
Ge 0.250 0.223 0.036
Ge 0.250 0.508 0.209
Ti 0.750 0.972 0.424
Ti 0.250 0.028 0.576
Ge 0.250 0.723 0.464
Ir 0.250 0.947 0.888
Ti 0.250 0.734 0.744
Ti 0.250 0.329 0.405
Ti 0.250 0.528 0.924
Ge 0.750 0.277 0.536
Ti 0.750 0.266 0.256
Ir 0.250 0.447 0.612
Ti 0.750 0.171 0.905
Ti 0.750 0.671 0.595
Ge 0.750 0.492 0.791
Ti 0.750 0.766 0.244
Ge 0.750 0.777 0.964
Ir 0.750 0.553 0.388
Ti 0.250 0.829 0.095
Ti 0.250 0.234 0.756